Record 1
An optimized crystal structure of LaTh2C. Source: the Alexandria database, functional PBE-GGA.

energy relative to the elements: -0.0674 eV/atom
space-group type: R-3m (166)

Cell: 3.6091 3.6091 29.7407 Å, 90.00 90.00 120.00°
Positions (direct):
La  0.0000  0.0000  0.0000
La  0.3333  0.6667  0.6667
La  0.6667  0.3333  0.3333
Th  0.0000  0.0000  0.1172
Th  0.0000  0.0000  0.8828
Th  0.3333  0.6667  0.5494
Th  0.3333  0.6667  0.7839
Th  0.6667  0.3333  0.2161
Th  0.6667  0.3333  0.4506
C  0.0000  0.0000  0.5000
C  0.3333  0.6667  0.1667
C  0.6667  0.3333  0.8333

---

Record 2
An optimized crystal structure of LaPm6Dy3Ho2. Source: the Alexandria database, functional PBE-GGA.

energy relative to the elements: 0.0177 eV/atom
space-group type: C2/m (12)

Cell: 6.2630 6.2630 11.9457 Å, 95.02 95.02 119.99°
Positions (direct):
La  0.0000  0.0000  0.0000
Pm  0.0843  0.4189  0.2521
Pm  0.2502  0.2502  0.7477
Pm  0.4189  0.0843  0.2521
Pm  0.5811  0.9157  0.7479
Pm  0.7498  0.7498  0.2523
Pm  0.9157  0.5811  0.7479
Dy  0.1672  0.8328  0.5000
Dy  0.5000  0.5000  0.5000
Dy  0.8328  0.1672  0.5000
Ho  0.3335  0.6665  0.0000
Ho  0.6665  0.3335  0.0000

---

Record 3
An optimized crystal structure of PuHfCoNi. Source: the Alexandria database, functional PBE-GGA.

energy relative to the elements: -0.1074 eV/atom
space-group type: F-43m (216)

Cell: 6.4926 6.4926 6.4926 Å, 90.00 90.00 90.00°
Positions (direct):
Pu  0.0000  0.0000  0.0000
Pu  0.0000  0.5000  0.5000
Pu  0.5000  0.0000  0.5000
Pu  0.5000  0.5000  0.0000
Hf  0.0000  0.0000  0.5000
Hf  0.0000  0.5000  0.0000
Hf  0.5000  0.0000  0.0000
Hf  0.5000  0.5000  0.5000
Co  0.2500  0.2500  0.7500
Co  0.2500  0.7500  0.2500
Co  0.7500  0.2500  0.2500
Co  0.7500  0.7500  0.7500
Ni  0.2500  0.2500  0.2500
Ni  0.2500  0.7500  0.7500
Ni  0.7500  0.2500  0.7500
Ni  0.7500  0.7500  0.2500

---

Record 4
An optimized crystal structure of KAlIr4. Source: the Alexandria database, functional PBE-GGA.

energy relative to the elements: 0.3965 eV/atom
space-group type: F-43m (216)

Cell: 5.2935 5.2935 5.2935 Å, 60.00 60.00 60.00°
Positions (direct):
K  0.0000  0.0000  0.0000
Al  0.7500  0.7500  0.7500
Ir  0.3754  0.3754  0.3754
Ir  0.3754  0.3754  0.8739
Ir  0.3754  0.8739  0.3754
Ir  0.8739  0.3754  0.3754

---

Record 5
An optimized crystal structure of LiThGa2. Source: the Alexandria database, functional PBE-GGA.

energy relative to the elements: -0.3024 eV/atom
space-group type: P4/mmm (123)

Cell: 4.4721 4.4721 4.3731 Å, 90.00 90.00 90.00°
Positions (direct):
Li  0.0000  0.0000  0.0000
Th  0.5000  0.5000  0.0000
Ga  0.0000  0.5000  0.5000
Ga  0.5000  0.0000  0.5000

---

Record 6
An optimized crystal structure of MgMnPb2. Source: the Alexandria database, functional PBE-GGA.

energy relative to the elements: 0.2367 eV/atom
space-group type: C2/m (12)

Cell: 6.7929 8.2802 3.4350 Å, 90.00 90.88 90.00°
Positions (direct):
Mg  0.0000  0.0000  0.0000
Mg  0.5000  0.5000  0.0000
Mn  0.0000  0.5000  0.0000
Mn  0.5000  0.0000  0.0000
Pb  0.2500  0.2500  0.5000
Pb  0.2500  0.7500  0.5000
Pb  0.7500  0.2500  0.5000
Pb  0.7500  0.7500  0.5000

---

Record 7
An optimized crystal structure of Ac2HgPb2. Source: the Alexandria database, functional PBE-GGA.

energy relative to the elements: -0.4785 eV/atom
space-group type: C2/m (12)

Cell: 6.7543 6.7543 12.0251 Å, 112.96 112.96 43.04°
Positions (direct):
Ac  0.0009  0.0009  0.3272
Ac  0.1812  0.1812  0.1098
Ac  0.8188  0.8188  0.8902
Ac  0.9991  0.9991  0.6728
Hg  0.2933  0.2933  0.6775
Hg  0.7067  0.7067  0.3225
Pb  0.3505  0.3505  0.4410
Pb  0.4521  0.4521  0.1064
Pb  0.5479  0.5479  0.8936
Pb  0.6495  0.6495  0.5590

---

Record 8
An optimized crystal structure of RbTaAsS2. Source: the Alexandria database, functional PBE-GGA.

space-group type: P4/mmm (123)
formation energy (no corrections): 0.22 eV/atom

Cell: 4.7702 4.7702 8.2620 Å, 90.00 90.00 90.00°
Positions (direct):
Rb  0.0000  0.0000  0.0000
Ta  0.0000  0.0000  0.5000
As  0.5000  0.5000  0.0000
S  0.0000  0.5000  0.5000
S  0.5000  0.0000  0.5000

---

Record 9
An optimized crystal structure of Ce2DyWN5. Source: the Alexandria database, functional PBE-GGA.

space-group type: P4/mbm (127)
formation energy (no corrections): -0.97 eV/atom

Cell: 6.6406 6.6406 5.8593 Å, 90.00 90.00 90.00°
Positions (direct):
Ce  0.1695  0.3305  0.0000
Ce  0.3305  0.8305  0.0000
Ce  0.6695  0.1695  0.0000
Ce  0.8305  0.6695  0.0000
Dy  0.0000  0.0000  0.5000
Dy  0.5000  0.5000  0.5000
W  0.0000  0.5000  0.5000
W  0.5000  0.0000  0.5000
N  0.0000  0.0000  0.0000
N  0.1481  0.6481  0.2657
N  0.1481  0.6481  0.7343
N  0.3519  0.1481  0.2657
N  0.3519  0.1481  0.7343
N  0.5000  0.5000  0.0000
N  0.6481  0.8519  0.2657
N  0.6481  0.8519  0.7343
N  0.8519  0.3519  0.2657
N  0.8519  0.3519  0.7343

---

Record 10
An optimized crystal structure of Fe5Au. Source: the Alexandria database, functional PBE-GGA.

energy relative to the elements: 0.3262 eV/atom
space-group type: P6/mmm (191)

Cell: 4.7619 4.7619 4.0084 Å, 90.00 90.00 120.00°
Positions (direct):
Fe  0.0000  0.5000  0.0000
Fe  0.3333  0.6667  0.5000
Fe  0.5000  0.0000  0.0000
Fe  0.5000  0.5000  0.0000
Fe  0.6667  0.3333  0.5000
Au  0.0000  0.0000  0.5000

---

Record 11
An optimized crystal structure of MnGa2Tc. Source: the Alexandria database, functional PBE-GGA.

energy relative to the elements: -0.0196 eV/atom
space-group type: R3m (160)

Cell: 2.8401 2.8401 25.0053 Å, 90.00 90.00 120.00°
Positions (direct):
Mn  0.0000  0.0000  0.0000
Mn  0.3333  0.6667  0.6667
Mn  0.6667  0.3333  0.3333
Ga  0.0000  0.0000  0.5832
Ga  0.0000  0.0000  0.7485
Ga  0.3333  0.6667  0.2499
Ga  0.3333  0.6667  0.4151
Ga  0.6667  0.3333  0.0818
Ga  0.6667  0.3333  0.9166
Tc  0.0000  0.0000  0.1657
Tc  0.3333  0.6667  0.8324
Tc  0.6667  0.3333  0.4991